A:
The following is a DFT calculation (PBE-GGA) of an optimized crystal structure of YAsPt3.

symmetry: Pm-3m (221)
Fermi-level density of states: 0.32 states/eV per atom

Geometry as POSCAR:
```
YAsPt3
1.0
4.726 0.000 0.000
0.000 4.726 0.000
0.000 0.000 4.726
Pt Y As
3 1 1
Cartesian
2.363 0.000 0.000
0.000 0.000 2.363
0.000 2.363 0.000
2.363 2.363 2.363
0.000 0.000 0.000
```


B:
The following is a DFT calculation (PBE-GGA) of an optimized crystal structure of YAsPt3.

symmetry: Pm-3m (221)
Fermi-level density of states: 0.61 states/eV per atom

Geometry as POSCAR:
```
YAsPt3
1.0
-3.562 2.606 2.501
-2.654 0.494 -4.295
-2.450 -4.324 1.016
As Pt Y
1 3 1
Cartesian
-4.333 -0.612 -0.389
-1.781 1.303 1.250
-1.327 0.247 -2.147
-1.225 -2.162 0.508
0.000 0.000 0.000
```


Best to worst by energy: A, B.


A:
The following is a DFT calculation (PBE-GGA) of an optimized crystal structure of Y2AsPt2.

symmetry: I4/mmm (139)
Fermi-level density of states: 0.68 states/eV per atom

Geometry as POSCAR:
```
Y2AsPt2
1.0
5.418 0.000 0.000
0.000 5.418 0.000
2.709 2.709 4.025
Pt Y As
2 2 1
Cartesian
2.709 2.709 1.252
5.418 5.418 2.773
5.418 2.709 2.013
2.709 5.418 2.013
0.000 0.000 0.000
```


B:
The following is a DFT calculation (PBE-GGA) of an optimized crystal structure of Y2AsPt2.

symmetry: P4/mbm (127)
Fermi-level density of states: 0.74 states/eV per atom

Geometry as POSCAR:
```
Y2AsPt2
1.0
-4.732 2.872 5.188
0.652 -6.345 4.107
2.917 1.489 1.837
Y As Pt
4 2 4
Cartesian
1.070 -3.037 4.601
-2.232 1.052 6.531
0.036 0.565 3.323
-1.199 -2.550 7.809
-2.040 -1.737 4.647
0.000 0.000 0.000
-3.720 -1.476 7.104
-0.360 -1.997 2.191
-2.886 0.993 3.779
-1.194 -4.466 5.516
```


Best to worst by energy: B, A.


A:
The following is a DFT calculation (PBE-GGA) of an optimized crystal structure of ZnAsPt.

symmetry: F-43m (216)
Fermi-level density of states: 0.64 states/eV per atom

Geometry as POSCAR:
```
ZnAsPt
1.0
4.258 0.000 0.000
2.129 3.688 0.000
2.129 1.229 3.477
Zn As Pt
1 1 1
Cartesian
0.000 0.000 0.000
4.258 2.459 1.738
6.387 3.688 2.608
```


B:
The following is a DFT calculation (PBE-GGA) of an optimized crystal structure of ZnAsPt.

symmetry: I4mm (107)
Fermi-level density of states: 0.24 states/eV per atom

Geometry as POSCAR:
```
ZnAsPt
1.0
-3.537 1.675 -4.780
-1.280 0.322 -6.034
-1.671 -2.341 -0.473
Zn Pt As
1 1 1
Cartesian
-3.812 0.610 -7.509
-2.704 -0.916 -3.869
-4.789 1.958 -10.722
```


Best to worst by energy: A, B.


A:
The following is a DFT calculation (PBE-GGA) of an optimized crystal structure of ZnAsPt.

symmetry: P-6m2 (187)
Fermi-level density of states: 0.24 states/eV per atom

Geometry as POSCAR:
```
ZnAsPt
1.0
4.480 0.000 0.000
-2.240 3.879 0.000
0.000 0.000 2.819
Pt As Zn
1 1 1
Cartesian
0.000 2.586 0.471
0.000 0.000 0.470
2.240 1.293 1.877
```


B:
The following is a DFT calculation (PBE-GGA) of an optimized crystal structure of ZnAsPt.

symmetry: P3m1 (156)
Fermi-level density of states: 0.32 states/eV per atom

Geometry as POSCAR:
```
ZnAsPt
1.0
3.169 0.000 0.000
-1.585 2.745 0.000
0.000 0.000 5.886
Pt Zn As
1 1 1
Cartesian
0.000 1.830 1.909
1.585 0.915 3.849
0.000 0.000 0.128
```


Best to worst by energy: B, A.


A:
The following is a DFT calculation (PBE-GGA) of an optimized crystal structure of ZnAsPt2.

symmetry: Imm2 (44)
Fermi-level density of states: 0.39 states/eV per atom

Geometry as POSCAR:
```
ZnAsPt2
1.0
-0.251 -5.416 0.411
4.282 -3.013 1.463
-2.992 4.288 1.492
Pt Zn As
2 1 1
Cartesian
0.107 -0.224 0.050
-0.491 -2.927 1.477
1.910 -3.993 0.888
1.530 -1.212 1.889
```


B:
The following is a DFT calculation (PBE-GGA) of an optimized crystal structure of ZnAsPt2.

symmetry: I-42d (122)
Fermi-level density of states: 0.44 states/eV per atom

Geometry as POSCAR:
```
ZnAsPt2
1.0
-2.666 1.472 4.858
-4.525 -3.175 -1.521
-1.400 -5.186 4.186
Pt As Zn
4 2 2
Cartesian
-3.466 -3.122 0.621
-7.419 -5.434 6.034
-3.670 -4.474 4.417
-2.627 -0.749 3.975
-3.830 -2.283 5.356
0.000 0.000 0.000
-3.595 -0.852 1.669
-4.760 -4.607 2.167
```


Best to worst by energy: A, B.


A:
The following is a DFT calculation (PBE-GGA) of an optimized crystal structure of ZrAsPt3.

symmetry: Pm-3m (221)
Fermi-level density of states: 0.68 states/eV per atom

Geometry as POSCAR:
```
ZrAsPt3
1.0
4.664 0.000 0.000
0.000 4.664 0.000
0.000 0.000 4.664
Pt Zr As
3 1 1
Cartesian
2.332 0.000 0.000
0.000 0.000 2.332
0.000 2.332 0.000
2.332 2.332 2.332
0.000 0.000 0.000
```


B:
The following is a DFT calculation (PBE-GGA) of an optimized crystal structure of ZrAsPt3.

symmetry: Pm-3m (221)
Fermi-level density of states: 0.74 states/eV per atom

Geometry as POSCAR:
```
ZrAsPt3
1.0
4.952 0.000 0.000
0.000 4.952 0.000
0.000 0.000 4.952
As Pt Zr
1 3 1
Cartesian
2.476 2.476 2.476
2.476 0.000 0.000
0.000 2.476 0.000
0.000 0.000 2.476
0.000 0.000 0.000
```


Best to worst by energy: A, B.


A:
The following is a DFT calculation (PBE-GGA) of an optimized crystal structure of Pu2AsRh.

symmetry: P4/mmm (123)
Fermi-level density of states: 3.17 states/eV per atom

Geometry as POSCAR:
```
Pu2AsRh
1.0
3.952 0.000 0.000
0.000 4.567 0.000
0.000 0.000 4.567
Pu Rh As
2 1 1
Cartesian
0.000 2.283 0.000
0.000 0.000 2.283
1.976 0.000 0.000
1.976 2.283 2.283
```


B:
The following is a DFT calculation (PBE-GGA) of an optimized crystal structure of Pu2AsRh.

symmetry: P2_1/m (11)
Fermi-level density of states: 4.17 states/eV per atom

Geometry as POSCAR:
```
Pu2AsRh
1.0
-2.029 -0.075 -3.600
-0.464 -5.781 0.382
-6.145 3.951 3.381
Pu Rh As
4 2 2
Cartesian
-4.140 0.262 -1.231
-7.370 2.391 0.545
-1.268 -4.297 -0.382
-4.498 -2.167 1.395
-6.736 -0.761 0.254
-1.901 -1.145 -0.091
-3.696 -2.778 -1.417
-4.941 0.872 1.581
```


C:
The following is a DFT calculation (PBE-GGA) of an optimized crystal structure of Pu2AsRh.

symmetry: P4/mmm (123)
Fermi-level density of states: 2.91 states/eV per atom

Geometry as POSCAR:
```
Pu2AsRh
1.0
3.743 0.000 0.000
0.000 3.743 0.000
0.000 0.000 5.827
Pu Rh As
2 1 1
Cartesian
0.000 0.000 1.467
0.000 0.000 4.361
1.872 1.872 2.914
1.872 1.872 0.000
```


Best to worst by energy: B, C, A.


A:
The following is a DFT calculation (PBE-GGA) of an optimized crystal structure of Pu4As3S.

symmetry: Cmmm (65)
Fermi-level density of states: 5.21 states/eV per atom

Geometry as POSCAR:
```
Pu4As3S
1.0
4.096 0.000 0.000
0.000 7.095 -0.080
0.000 -2.312 6.708
As Pu S
3 4 1
Cartesian
0.000 3.547 -0.040
2.048 2.391 3.314
0.000 -1.156 3.354
2.048 0.019 5.026
0.000 1.165 1.615
0.000 3.617 5.013
2.048 4.764 1.602
2.048 0.000 0.000
```


B:
The following is a DFT calculation (PBE-GGA) of an optimized crystal structure of Pu4As3S.

symmetry: R-3m (166)
Fermi-level density of states: 4.80 states/eV per atom

Geometry as POSCAR:
```
Pu4As3S
1.0
-3.012 -1.931 1.998
-0.244 -4.089 -0.117
6.638 -2.779 11.520
As Pu S
3 4 1
Cartesian
0.801 -2.195 3.288
1.691 -4.399 6.701
2.581 -6.603 10.113
3.753 -2.490 7.451
4.652 -4.695 10.877
-0.371 -6.308 5.951
-1.270 -4.103 2.525
0.000 0.000 0.000
```


Best to worst by energy: B, A.


A:
The following is a DFT calculation (PBE-GGA) of an optimized crystal structure of Pu3AsSe3.

symmetry: R-3 (148)
Fermi-level density of states: 3.04 states/eV per atom

Geometry as POSCAR:
```
Pu3AsSe3
1.0
-2.062 5.864 -5.871
-7.392 4.253 0.618
-0.540 7.452 1.406
Pu Se As
6 6 2
Cartesian
-5.259 11.856 -2.754
-4.735 5.712 -1.092
-5.746 9.138 1.161
-4.248 8.430 -5.007
-8.169 8.832 -2.284
-1.825 8.736 -1.562
-7.163 6.979 -0.139
-2.831 10.589 -3.708
-6.723 10.057 -4.479
-7.159 10.956 -0.602
-2.836 6.612 -3.244
-3.271 7.511 0.633
-6.278 6.783 -3.472
-3.716 10.785 -0.374
```


B:
The following is a DFT calculation (PBE-GGA) of an optimized crystal structure of Pu3AsSe3.

symmetry: Pm-3m (221)
Fermi-level density of states: 3.80 states/eV per atom

Geometry as POSCAR:
```
Pu3AsSe3
1.0
5.782 0.000 0.000
0.000 5.782 0.000
0.000 0.000 5.782
Pu Se As
3 3 1
Cartesian
2.891 0.000 2.891
2.891 2.891 0.000
0.000 2.891 2.891
0.000 2.891 0.000
2.891 0.000 0.000
0.000 0.000 2.891
2.891 2.891 2.891
```


Best to worst by energy: A, B.


A:
The following is a DFT calculation (PBE-GGA) of an optimized crystal structure of SrPuAs.

symmetry: P4/mmm (123)
Fermi-level density of states: 3.10 states/eV per atom

Geometry as POSCAR:
```
SrPuAs
1.0
-2.575 4.436 -1.654
-0.461 -3.742 -0.540
-7.543 -0.552 10.264
Pu Sr As
2 2 2
Cartesian
-6.585 1.287 4.925
-4.893 1.411 2.622
-1.702 -0.668 0.860
-7.201 -1.070 8.341
-1.967 1.625 -1.358
-4.452 -0.869 4.600
```


B:
The following is a DFT calculation (PBE-GGA) of an optimized crystal structure of SrPuAs.

symmetry: P3m1 (156)
Fermi-level density of states: 3.96 states/eV per atom

Geometry as POSCAR:
```
SrPuAs
1.0
-2.232 -5.167 -4.366
3.004 -2.522 1.449
-3.751 0.060 1.847
Pu As Sr
1 1 1
Cartesian
-2.028 -2.025 0.680
-0.043 -0.100 -0.084
-0.908 -5.505 -1.666
```


Best to worst by energy: A, B.


A:
The following is a DFT calculation (PBE-GGA) of an optimized crystal structure of TbPuAs2.

symmetry: R-3m (166)
Fermi-level density of states: 2.68 states/eV per atom

Geometry as POSCAR:
```
TbPuAs2
1.0
-0.138 1.032 4.010
2.782 -1.568 2.639
4.957 5.032 1.016
Tb As Pu
1 2 1
Cartesian
0.000 0.000 0.000
5.685 3.353 5.753
1.915 1.143 1.912
3.800 2.248 3.832
```


B:
The following is a DFT calculation (PBE-GGA) of an optimized crystal structure of TbPuAs2.

symmetry: R3m (160)
Fermi-level density of states: 2.62 states/eV per atom

Geometry as POSCAR:
```
TbPuAs2
1.0
4.113 0.000 0.000
2.057 3.562 0.000
2.057 1.187 6.970
As Pu Tb
2 1 1
Cartesian
2.057 1.187 1.695
2.057 1.187 5.274
6.170 3.562 6.917
4.113 2.375 3.539
```


Best to worst by energy: A, B.


A:
The following is a DFT calculation (PBE-GGA) of an optimized crystal structure of Pu3TeAs2.

symmetry: Immm (71)
Fermi-level density of states: 5.87 states/eV per atom

Geometry as POSCAR:
```
Pu3TeAs2
1.0
-3.207 2.749 0.016
-1.279 -1.459 -5.695
-1.680 -5.234 4.896
Pu As Te
3 2 1
Cartesian
-2.518 -2.945 1.320
0.000 0.000 0.000
-3.648 -0.998 -2.103
-3.288 -3.827 -1.459
-2.878 -0.116 0.676
-0.639 -0.729 -2.847
```


B:
The following is a DFT calculation (PBE-GGA) of an optimized crystal structure of Pu3TeAs2.

symmetry: C2/c (15)
Fermi-level density of states: 5.50 states/eV per atom

Geometry as POSCAR:
```
Pu3TeAs2
1.0
-5.648 -4.654 -0.104
5.418 -4.683 1.647
-2.413 4.744 5.067
Pu Te As
6 2 4
Cartesian
3.000 -0.827 4.866
-4.030 0.045 2.481
-1.401 -3.146 1.177
-1.241 -1.448 5.433
2.709 -2.341 0.824
-5.643 -3.766 1.744
-3.329 -2.743 3.539
0.686 -1.850 3.071
3.354 -5.061 1.906
-1.814 1.160 4.163
-0.828 -5.753 2.447
-5.996 0.467 4.704
```


Best to worst by energy: B, A.


A:
The following is a DFT calculation (PBE-GGA) of an optimized crystal structure of Pu5Te4As.

symmetry: I4/mmm (139)
Fermi-level density of states: 5.68 states/eV per atom

Geometry as POSCAR:
```
Pu5Te4As
1.0
4.334 0.000 -0.611
-0.086 4.333 -0.611
0.024 0.024 15.851
Te Pu As
4 5 1
Cartesian
2.553 2.604 2.434
3.422 3.490 8.598
1.719 1.753 12.196
0.850 0.867 6.031
1.283 1.309 9.105
2.124 2.166 -0.611
0.402 0.410 2.850
3.870 3.948 11.779
2.988 3.048 5.524
0.000 0.000 0.000
```


B:
The following is a DFT calculation (PBE-GGA) of an optimized crystal structure of Pu5Te4As.

symmetry: I4 (79)
Fermi-level density of states: 5.37 states/eV per atom

Geometry as POSCAR:
```
Pu5Te4As
1.0
6.209 0.000 0.000
3.104 6.939 0.000
3.104 0.000 6.939
As Pu Te
1 5 4
Cartesian
0.011 0.000 0.000
3.110 4.299 1.287
6.214 1.287 2.639
6.214 5.651 4.299
3.115 0.000 0.000
9.318 2.639 5.651
3.110 1.460 2.757
6.214 2.757 5.478
6.214 4.181 1.460
9.318 5.478 4.181
```


Best to worst by energy: B, A.